Entry from the Alexandria database: crystalline Co4SiHg at its relaxed geometry (PBE).

a = 4.832 Å, b = 4.832 Å, c = 4.832 Å
α = 60.00°, β = 60.00°, γ = 60.00°
Fractional positions:
Co 0.376 0.376 0.376
Co 0.376 0.376 0.873
Co 0.376 0.873 0.376
Co 0.873 0.376 0.376
Si 0.750 0.750 0.750
Hg 0.000 0.000 0.000

## Properties
**Space group**: F-43m
**Density of states at the Fermi level**: 1.55 states/eV per atom
**Formation energy from raw total energies**: 0.3688 eV per atom
**Calculated volume**: 79.8 Å³ per cell